Entry 1:
The following is a PBE-GGA calculation of a relaxed structure of Sc2TaSb, from Alexandria via LeMat-Bulk.

Cell lengths 10.6795, 10.6795, 10.6795 Å; angles 16.93, 16.93, 16.93 degrees
With the nearest neighbours (Å) after each atom.
Element x y z (fractional)
Sc  0.0876  0.0876  0.0876  1 Ta 2.76, 3 Sb 3.09
Sc  0.9124  0.9124  0.9124  1 Ta 2.76, 3 Sb 3.09
Ta  0.0000  0.0000  0.0000  2 Sc 2.76
Sb  0.5000  0.5000  0.5000  6 Sc 3.09, 6 Sb 3.14

Calculated values
total energy = -6.87 eV per atom

=====

Entry 2:
The following is a PBE-GGA calculation of a relaxed structure of Li2HAuSe, from Alexandria via LeMat-Bulk.

Cell lengths 4.3005, 4.3005, 3.7639 Å; angles 90.00, 90.00, 90.00 degrees
With the nearest neighbours (Å) after each atom.
Element x y z (fractional)
Li  0.0000  0.5000  0.0000  2 H 2.15
Li  0.5000  0.0000  0.0000  2 H 2.15
H  0.0000  0.0000  0.0000  2 Au 1.88
Au  0.0000  0.0000  0.5000  2 H 1.88
Se  0.5000  0.5000  0.5000  8 Li 2.86, 4 Au 3.04

Calculated values
total energy = -3.33 eV per atom

=====

Entry 3:
The following is a PBE-GGA calculation of a relaxed structure of Ba2HgGeRh, from Alexandria via LeMat-Bulk.

Cell lengths 6.3371, 6.3371, 4.9078 Å; angles 90.00, 90.00, 90.00 degrees
With the nearest neighbours (Å) after each atom.
Element x y z (fractional)
Ba  0.0000  0.5000  0.0000  2 Ge 3.17
Ba  0.5000  0.0000  0.0000  2 Ge 3.17
Hg  0.0000  0.0000  0.5000  2 Ge 2.45
Ge  0.0000  0.0000  0.0000  2 Hg 2.45
Rh  0.5000  0.5000  0.5000  8 Ba 4.01, 4 Hg 4.48

Calculated values
DFT formation energy = 0.31 eV per atom
relative energy among the computed polymorphs = 744 meV/atom
total energy = -2.91 eV per atom

=====

Entry 4:
The following is a PBE-GGA calculation of a relaxed structure of Tb7Dy2Y3, from Alexandria via LeMat-Bulk.

Cell lengths 5.7901, 3.5874, 18.6826 Å; angles 90.00, 93.54, 90.00 degrees
With the nearest neighbours (Å) after each atom.
Element x y z (fractional)
Tb  0.0000  0.0000  0.0000  4 Tb 3.36-3.59, 4 Y 3.41
Tb  0.1834  0.5000  0.1789  6 Tb 3.44-3.59, 2 Dy 3.61-3.62
Tb  0.2580  0.5000  0.5366  1 Dy 3.14, 2 Tb 3.19-3.21
Tb  0.3181  0.0000  0.8557  2 Dy 3.33, 2 Y 3.35, 7 Tb 3.36-3.59
Tb  0.6819  0.0000  0.1443  2 Dy 3.33, 2 Y 3.35, 7 Tb 3.36-3.59
Tb  0.7420  0.5000  0.4634  1 Dy 3.14, 2 Tb 3.19-3.21
Tb  0.8166  0.5000  0.8211  6 Tb 3.44-3.59, 2 Dy 3.61-3.62
Dy  0.2937  0.5000  0.7050  3 Tb 3.14-3.33
Dy  0.7063  0.5000  0.2950  3 Tb 3.14-3.33
Y  0.2187  0.0000  0.3675  2 Y 3.59, 8 Tb 3.63-3.95, 4 Dy 3.65-3.67
Y  0.5000  0.5000  0.0000  8 Tb 3.35-3.41, 2 Y 3.59
Y  0.7813  0.0000  0.6325  2 Y 3.59, 8 Tb 3.63-3.95, 4 Dy 3.65-3.67

Calculated values
DFT formation energy = 0.08 eV per atom
relative energy among the computed polymorphs = 0 meV/atom
total energy = -5.00 eV per atom

=====

Entry 5:
The following is a PBE-GGA calculation of a relaxed structure of ThMgBe2Pt5, from Alexandria via LeMat-Bulk.

Cell lengths 4.1465, 4.1465, 8.6454 Å; angles 90.00, 90.00, 90.00 degrees
With the nearest neighbours (Å) after each atom.
Element x y z (fractional)
Th  0.0000  0.0000  0.0000  12 Pt 2.93-3.05
Mg  0.0000  0.0000  0.5000  8 Pt 2.94, 8 Be 3.17
Be  0.5000  0.5000  0.3611  4 Pt 2.25, 1 Be 2.40
Be  0.5000  0.5000  0.6389  4 Pt 2.25, 1 Be 2.40
Pt  0.0000  0.5000  0.2585  2 Be 2.25
Pt  0.0000  0.5000  0.7415  2 Be 2.25
Pt  0.5000  0.0000  0.2585  2 Be 2.25
Pt  0.5000  0.0000  0.7415  2 Be 2.25
Pt  0.5000  0.5000  0.0000  4 Th 2.93, 8 Pt 3.05, 2 Be 3.12

Calculated values
DFT formation energy = -0.79 eV per atom
total energy = -5.98 eV per atom

=====

Entry 6:
The following is a PBE-GGA calculation of a relaxed structure of Na2AcAu3, from Alexandria via LeMat-Bulk.

Cell lengths 4.9597, 4.9597, 14.1855 Å; angles 90.00, 90.00, 120.00 degrees
With the nearest neighbours (Å) after each atom.
Element x y z (fractional)
Na  0.3333  0.6667  0.0653  7 Au 2.95-3.07
Na  0.3333  0.6667  0.4347  7 Au 2.95-3.07
Na  0.6667  0.3333  0.5653  7 Au 2.95-3.07
Na  0.6667  0.3333  0.9347  7 Au 2.95-3.07
Ac  0.0000  0.0000  0.2500  8 Au 3.24-3.55
Ac  0.0000  0.0000  0.7500  8 Au 3.24-3.55
Au  0.0000  0.0000  0.0000  6 Na 3.01
Au  0.0000  0.0000  0.5000  6 Na 3.01
Au  0.3333  0.6667  0.6427  4 Na 2.95-3.07, 1 Au 3.05, 3 Ac 3.24
Au  0.3333  0.6667  0.8573  4 Na 2.95-3.07, 1 Au 3.05, 3 Ac 3.24
Au  0.6667  0.3333  0.1427  4 Na 2.95-3.07, 1 Au 3.05, 3 Ac 3.24
Au  0.6667  0.3333  0.3573  4 Na 2.95-3.07, 1 Au 3.05, 3 Ac 3.24

Calculated values
DFT formation energy = -0.47 eV per atom
relative energy among the computed polymorphs = 46 meV/atom
total energy = -3.23 eV per atom